[1]
A relaxed NaMn2CrRu crystal, computed with PBE-GGA.

Cell: 4.6694 4.6694 5.1076 Å, 90.00 90.00 90.00°
With the nearest neighbours (Å) after each atom.
Space group P4/mmm (No. 123)
Unique sites:
Na (0.0000, 0.0000, 0.0000)  2 Ru 2.55
Mn (0.0000, 0.5000, 0.5000)  2 Ru 2.33
Cr (0.5000, 0.5000, 0.0000)  4 Na 3.30, 8 Mn 3.46
Ru (0.0000, 0.0000, 0.5000)  4 Mn 2.33, 2 Na 2.55

## Properties
Formation energy from the elements = 1291 meV per atom
Mass density = 4.3 g/cm3
M_tot = 2.9 μB per cell

[2]
A relaxed NaMn2Cr3S8 crystal, computed with PBE-GGA.

Cell: 7.2525 7.2525 17.6878 Å, 90.00 90.00 120.00°
With the nearest neighbours (Å) after each atom.
Space group R3m (No. 160, hexagonal axes)
Unique sites:
Na (0.0000, 0.0000, 0.0000)  4 S 2.52-2.54
Mn (0.0000, 0.0000, 0.2514)  4 S 2.39-2.42
Mn (0.0000, 0.0000, 0.6277)  6 S 2.34-2.47
Cr (0.1697, 0.3395, 0.4577)  6 S 2.37-2.48
S (0.0000, 0.0000, 0.3863)  1 Mn 2.39, 3 Cr 2.48
S (0.0000, 0.0000, 0.8575)  3 Cr 2.37, 1 Na 2.52
S (0.0494, 0.5247, 0.3798)  1 Mn 2.34, 2 Cr 2.38, 1 Na 2.54
S (0.1816, 0.3633, 0.2052)  2 Mn 2.42-2.47, 2 Cr 2.48

## Properties
Mass density = 3.4 g/cm3
M_tot = 51.0 μB per cell
Raw total energy = -6.51 eV per atom

[3]
A relaxed Na4Mn3CrS8 crystal, computed with PBE-GGA.

Cell: 7.2153 7.2153 19.6749 Å, 90.00 90.00 120.00°
With the nearest neighbours (Å) after each atom.
Space group R-3m (No. 166, hexagonal axes)
Unique sites:
Na (0.0000, 0.0000, 0.0000)  6 S 2.89
Na (0.0000, 0.5000, 0.0000)  6 S 2.85-2.87
Mn (0.0000, 0.5000, 0.5000)  6 S 2.46-2.48
Cr (0.0000, 0.0000, 0.5000)  6 S 2.43
S (0.0000, 0.0000, 0.2332)  3 Mn 2.46
S (0.0062, 0.5031, 0.2337)  1 Cr 2.43, 2 Mn 2.48

## Properties
Mass density = 3.2 g/cm3
M_tot = 45.1 μB per cell
Raw total energy = -5.55 eV per atom

[4]
A relaxed Na2MnCrS4 crystal, computed with PBE-GGA.

Cell: 6.2436 3.5970 6.8635 Å, 90.00 107.87 90.00°
With the nearest neighbours (Å) after each atom.
Space group P2/m (No. 10)
Unique sites:
Na (0.0000, 0.0000, 0.0000)  6 S 2.87-2.89
Na (0.5000, 0.5000, 0.0000)  6 S 2.83-2.84
Mn (0.0000, 0.5000, 0.5000)  6 S 2.46-2.50
Cr (0.5000, 0.0000, 0.5000)  6 S 2.43-2.44
S (0.2385, 0.0000, 0.6992)  1 Cr 2.43, 2 Mn 2.46
S (0.2731, 0.5000, 0.2997)  2 Cr 2.44, 1 Mn 2.50

## Properties
Mass density = 3.2 g/cm3
M_tot = 7.0 μB per cell
Raw total energy = -5.61 eV per atom

[5]
A relaxed NaMnCrS3 crystal, computed with PBE-GGA.

Cell: 7.5020 3.5924 8.9242 Å, 90.00 110.11 90.00°
With the nearest neighbours (Å) after each atom.
Space group P2_1/m (No. 11)
Unique sites:
Na (0.2241, 0.2500, 0.2337)  5 S 2.87-3.02
Mn (0.0928, 0.2500, 0.6197)  4 S 2.23-2.47
Cr (0.3190, 0.7500, 0.8454)  6 S 2.41-2.48
S (0.1119, 0.2500, 0.8744)  1 Mn 2.23, 2 Cr 2.45
S (0.2457, 0.7500, 0.5523)  3 Mn 2.32-2.47, 1 Cr 2.48
S (0.4584, 0.7500, 0.1318)  3 Cr 2.41

## Properties
Mass density = 3.3 g/cm3
M_tot = 3.0 μB per cell
Raw total energy = -6.18 eV per atom

[6]
A relaxed Na3Mn3CrS8 crystal, computed with PBE-GGA.

Cell: 7.0417 7.0417 20.1166 Å, 90.00 90.00 120.00°
With the nearest neighbours (Å) after each atom.
Space group R-3m (No. 166, hexagonal axes)
Unique sites:
Na (0.0000, 0.5000, 0.0000)  6 S 2.85-2.88
Mn (0.0000, 0.5000, 0.5000)  6 S 2.42-2.44
Cr (0.0000, 0.0000, 0.5000)  6 S 2.41
S (0.0000, 0.0000, 0.2338)  3 Mn 2.44
S (0.0008, 0.5004, 0.2315)  1 Cr 2.41, 2 Mn 2.42

## Properties
Mass density = 3.1 g/cm3
M_tot = 41.7 μB per cell
Raw total energy = -5.73 eV per atom

[7]
A relaxed NaMnCrSb2 crystal, computed with PBE-GGA.

Cell: 5.0782 5.0782 4.8504 Å, 90.00 90.00 90.00°
With the nearest neighbours (Å) after each atom.
Space group P4/mmm (No. 123)
Unique sites:
Na (0.0000, 0.0000, 0.0000)  8 Sb 3.51, 4 Mn 3.59
Mn (0.5000, 0.5000, 0.0000)  2 Cr 2.43
Cr (0.5000, 0.5000, 0.5000)  2 Mn 2.43, 4 Sb 2.54
Sb (0.0000, 0.5000, 0.5000)  2 Cr 2.54

## Properties
Mass density = 5.0 g/cm3
M_tot = 3.1 μB per cell
Raw total energy = -5.28 eV per atom

[8]
A relaxed NaMnCrSe3 crystal, computed with PBE-GGA.

Cell: 7.9488 3.5915 9.1589 Å, 90.00 111.09 90.00°
With the nearest neighbours (Å) after each atom.
Space group P2_1/m (No. 11)
Unique sites:
Na (0.2246, 0.2500, 0.2484)  6 Se 2.98-3.18
Mn (0.0768, 0.2500, 0.5908)  4 Se 2.34-2.40, 2 Mn 2.45
Cr (0.3152, 0.7500, 0.8339)  6 Se 2.51-2.56
Se (0.1046, 0.2500, 0.8537)  1 Mn 2.34, 2 Cr 2.51
Se (0.2439, 0.7500, 0.5402)  3 Mn 2.38-2.40, 1 Cr 2.54
Se (0.4486, 0.7500, 0.1334)  3 Cr 2.54-2.56

## Properties
Mass density = 5.0 g/cm3
M_tot = 5.3 μB per cell
Raw total energy = -5.66 eV per atom